Record 1
Tm2NpPdO8: optimized geometry, PBE.

E_form (uncorrected) in eV/atom: -2.47
DOS(E_F) in states/eV/cell: 3.47
Crystal system: monoclinic
Spin magnetization in μB/f.u.: 1.00

Cell lengths 4.9904, 6.6057, 4.9950 Å; angles 90.00, 92.29, 90.00 degrees
Fractional positions:
Tm 0.0000 0.2384 0.0000
Tm 0.0000 0.7616 0.0000
Np 0.5000 0.5000 0.5000
Pd 0.5000 0.0000 0.5000
O 0.2072 0.5000 0.2055
O 0.2095 0.0000 0.2081
O 0.3172 0.2488 0.6811
O 0.3172 0.7512 0.6811
O 0.6828 0.2488 0.3189
O 0.6828 0.7512 0.3189
O 0.7905 0.0000 0.7919
O 0.7928 0.5000 0.7945

---

Record 2
NpZnPdO6: optimized geometry, PBE.

E_form (uncorrected) in eV/atom: -1.57
DOS(E_F) in states/eV/cell: 6.24
Crystal system: trigonal
Spin magnetization in μB/f.u.: 1.06

Cell lengths 5.2540, 5.2540, 9.2606 Å; angles 90.00, 90.00, 120.00 degrees
Fractional positions:
Np 0.3333 0.6667 0.2500
Np 0.6667 0.3333 0.7500
Zn 0.0000 0.0000 0.0000
Zn 0.0000 0.0000 0.5000
Pd 0.3333 0.6667 0.7500
Pd 0.6667 0.3333 0.2500
O 0.0052 0.3421 0.6297
O 0.0052 0.6630 0.8703
O 0.3370 0.3421 0.8703
O 0.3370 0.9948 0.6297
O 0.3421 0.0052 0.1297
O 0.3421 0.3370 0.3703
O 0.6579 0.6630 0.6297
O 0.6579 0.9948 0.8703
O 0.6630 0.0052 0.3703
O 0.6630 0.6579 0.1297
O 0.9948 0.3370 0.1297
O 0.9948 0.6579 0.3703